{
  "formula": "TmSc2Ti",
  "functional": "PBE",
  "state": "relaxed",
  "lattice": [[1.613, 0.931, 10.504], [-1.613, 0.931, 10.504], [0.000, -1.862, 10.504]],
  "species": ["Tm", "Sc", "Sc", "Ti"],
  "frac_coords": [[0.000, 0.000, 0.000], [0.242, 0.242, 0.242], [0.758, 0.758, 0.758], [0.500, 0.500, 0.500]],
  "relative_energy_kcal_per_mol_atoms": 0.243,
  "total_energy_ev_per_atom": -6.12,
  "ef_mev_per_atom": 137,
  "n_ef_per_ev_atom": 1.4448,
  "space_group": "R-3m"
}